ScP2Pt | Alexandria | PBE | relaxed; total moment = 0.000 μB/f.u.; crystal system = cubic; calculated total energy = -6.232 eV per atom; formation energy from the elements = -41.83 kJ per mole of atoms; space group = No. 225; calculated volume = 63 Å³/cell
1.0
0.0000 3.1585 3.1585
3.1585 0.0000 3.1585
3.1585 3.1585 0.0000
Sc P Pt
1 2 1
Direct
0.0000 0.0000 0.0000
0.2500 0.2500 0.2500
0.7500 0.7500 0.7500
0.5000 0.5000 0.5000